Record 1
Material: Ta2TiTl
Method: DFT, PBE
State: optimized geometry

Lattice parameters (Å, degrees): 3.9847 3.9847 10.6615 79.23 79.23 90.00
Last column: nearest neighbours and their distance in Å.
Atoms (fractional coordinates):
Tl1 0.0000 0.0000 0.0000  4 Ti 2.82, 4 Ta 2.94
Tl2 0.7500 0.2500 0.5000  4 Ti 2.82, 4 Ta 2.94
Ti1 0.5000 0.5000 0.0000  4 Tl 2.82, 4 Ta 2.92
Ti2 0.2500 0.7500 0.5000  4 Tl 2.82, 4 Ta 2.92
Ta1 0.6161 0.1250 0.2500  4 Ta 2.77-2.87, 2 Ti 2.92, 2 Tl 2.94
Ta2 0.1339 0.6250 0.2500  4 Ta 2.77-2.87, 2 Ti 2.92, 2 Tl 2.94
Ta3 0.3750 0.3839 0.7500  4 Ta 2.77-2.87, 2 Ti 2.92, 2 Tl 2.94
Ta4 0.8750 0.8661 0.7500  4 Ta 2.77-2.87, 2 Ti 2.92, 2 Tl 2.94

- symmetry = I-42d (122)
- E (eV/atom) = -7.8349
- polymorph energy (0 for the lowest one) (meV/atom) = 141
- ΔH_f (0 K) (kJ per mole of atoms) = 63.4

---

Record 2
Material: Ta2Ti2Tl
Method: DFT, PBE
State: optimized geometry

Lattice parameters (Å, degrees): 7.2776 7.2776 3.5615 90.00 90.00 90.00
Last column: nearest neighbours and their distance in Å.
Atoms (fractional coordinates):
Tl1 0.0000 0.0000 0.0000  4 Ti 2.86
Tl2 0.5000 0.5000 0.0000  4 Ti 2.86
Ti1 0.3719 0.8719 0.0000  1 Ti 2.64, 6 Ta 2.75-2.81, 2 Tl 2.86
Ti2 0.8719 0.6281 0.0000  1 Ti 2.64, 6 Ta 2.75-2.81, 2 Tl 2.86
Ti3 0.6281 0.1281 0.0000  1 Ti 2.64, 6 Ta 2.75-2.81, 2 Tl 2.86
Ti4 0.1281 0.3719 0.0000  1 Ti 2.64, 6 Ta 2.75-2.81, 2 Tl 2.86
Ta1 0.1678 0.6678 0.5000  6 Ti 2.75-2.81
Ta2 0.6678 0.8322 0.5000  6 Ti 2.75-2.81
Ta3 0.8322 0.3322 0.5000  6 Ti 2.75-2.81
Ta4 0.3322 0.1678 0.5000  6 Ti 2.75-2.81

- symmetry = P4/mbm (127)
- E (eV/atom) = -8.0492
- polymorph energy (0 for the lowest one) (meV/atom) = 0
- ΔH_f (0 K) (kJ per mole of atoms) = 31.2

---

Record 3
Material: Ta3TiTl
Method: DFT, PBE
State: optimized geometry

Lattice parameters (Å, degrees): 4.7537 4.7537 4.7537 90.00 90.00 90.00
Last column: nearest neighbours and their distance in Å.
Atoms (fractional coordinates):
Tl1 0.5000 0.5000 0.5000  12 Ta 3.36
Ti1 0.0000 0.0000 0.0000  6 Ta 2.38
Ta1 0.0000 0.5000 0.0000  2 Ti 2.38
Ta2 0.0000 0.0000 0.5000  2 Ti 2.38
Ta3 0.5000 0.0000 0.0000  2 Ti 2.38

- symmetry = Pm-3m (221)
- E (eV/atom) = -7.7816
- polymorph energy (0 for the lowest one) (meV/atom) = 0
- ΔH_f (0 K) (kJ per mole of atoms) = 133.4

---

Record 4
Material: Ta2Ti2Tl
Method: DFT, PBE
State: optimized geometry

Lattice parameters (Å, degrees): 7.4431 7.4431 3.5262 90.00 90.00 90.00
Last column: nearest neighbours and their distance in Å.
Atoms (fractional coordinates):
Tl1 0.0000 0.0000 0.0000  4 Ta 2.94, 8 Ti 3.28
Tl2 0.5000 0.5000 0.0000  4 Ta 2.94, 8 Ti 3.28
Ti1 0.1694 0.6694 0.5000  6 Ta 2.79-2.83
Ti2 0.6694 0.8306 0.5000  6 Ta 2.79-2.83
Ti3 0.8306 0.3306 0.5000  6 Ta 2.79-2.83
Ti4 0.3306 0.1694 0.5000  6 Ta 2.79-2.83
Ta1 0.3748 0.8748 0.0000  1 Ta 2.64, 6 Ti 2.79-2.83, 2 Tl 2.94
Ta2 0.8748 0.6252 0.0000  1 Ta 2.64, 6 Ti 2.79-2.83, 2 Tl 2.94
Ta3 0.6252 0.1252 0.0000  1 Ta 2.64, 6 Ti 2.79-2.83, 2 Tl 2.94
Ta4 0.1252 0.3748 0.0000  1 Ta 2.64, 6 Ti 2.79-2.83, 2 Tl 2.94

- symmetry = P4/mbm (127)
- E (eV/atom) = -8.0397
- polymorph energy (0 for the lowest one) (meV/atom) = 10
- ΔH_f (0 K) (kJ per mole of atoms) = 32.1

---

Record 5
Material: TaTiTl3
Method: DFT, PBE
State: optimized geometry

Lattice parameters (Å, degrees): 5.3958 5.3958 5.3958 90.00 90.00 90.00
Last column: nearest neighbours and their distance in Å.
Atoms (fractional coordinates):
Tl1 0.0000 0.5000 0.0000  2 Ta 2.70
Tl2 0.0000 0.0000 0.5000  2 Ta 2.70
Tl3 0.5000 0.0000 0.0000  2 Ta 2.70
Ti1 0.5000 0.5000 0.5000  12 Tl 3.82
Ta1 0.0000 0.0000 0.0000  6 Tl 2.70

- symmetry = Pm-3m (221)
- E (eV/atom) = -4.1374
- polymorph energy (0 for the lowest one) (meV/atom) = 0
- ΔH_f (0 K) (kJ per mole of atoms) = 118.9

---

Record 6
Material: TmTaTi2
Method: DFT, PBE
State: optimized geometry

Lattice parameters (Å, degrees): 3.0572 3.0572 10.1602 81.35 81.35 60.00
Last column: nearest neighbours and their distance in Å.
Atoms (fractional coordinates):
Tm1 0.5000 0.5000 0.5000  6 Tm 3.06, 6 Ti 3.25
Ti1 0.2574 0.2574 0.2278  3 Ta 2.88, 6 Ti 3.06
Ti2 0.7426 0.7426 0.7722  3 Ta 2.88, 6 Ti 3.06
Ta1 0.0000 0.0000 0.0000  6 Ti 2.88, 6 Ta 3.06

- symmetry = R-3m (166)
- E (eV/atom) = -7.7542
- polymorph energy (0 for the lowest one) (meV/atom) = 165
- ΔH_f (0 K) (kJ per mole of atoms) = 26.5

---

Record 7
Material: TmTaTi2
Method: DFT, PBE
State: optimized geometry

Lattice parameters (Å, degrees): 3.4731 3.4731 6.7647 90.00 90.00 90.00
Last column: nearest neighbours and their distance in Å.
Atoms (fractional coordinates):
Tm1 0.5000 0.5000 0.5000  8 Ti 3.19, 2 Ta 3.38, 4 Tm 3.47
Ti1 0.0000 0.0000 0.8004  1 Ti 2.70, 4 Ta 2.80
Ti2 0.0000 0.0000 0.1996  1 Ti 2.70, 4 Ta 2.80
Ta1 0.5000 0.5000 0.0000  8 Ti 2.80

- symmetry = P4/mmm (123)
- E (eV/atom) = -7.9189
- polymorph energy (0 for the lowest one) (meV/atom) = 0
- ΔH_f (0 K) (kJ per mole of atoms) = 10.6

---

Record 8
Material: UTaTi2
Method: DFT, PBE
State: optimized geometry

Lattice parameters (Å, degrees): 4.6916 4.6916 4.6916 60.00 60.00 60.00
Last column: nearest neighbours and their distance in Å.
Atoms (fractional coordinates):
Ti1 0.2500 0.2500 0.2500  4 Ta 2.87, 4 U 2.87
Ti2 0.7500 0.7500 0.7500  4 U 2.87, 4 Ta 2.87
U1 0.0000 0.0000 0.0000  8 Ti 2.87
Ta1 0.5000 0.5000 0.5000  8 Ti 2.87

- symmetry = Fm-3m (225)
- E (eV/atom) = -9.5396
- ΔH_f (0 K) (kJ per mole of atoms) = 18.6

---

Record 9
Material: TaTi2V
Method: DFT, PBE
State: optimized geometry

Lattice parameters (Å, degrees): 2.9953 2.9953 9.5268 72.45 72.45 55.87
Last column: nearest neighbours and their distance in Å.
Atoms (fractional coordinates):
Ta1 0.4484 0.4484 0.5012  4 Ti 2.71-2.99, 6 Ta 2.81-3.00
Ti1 0.0467 0.0467 0.7688  1 V 2.35
Ti2 0.3147 0.3147 0.2311  1 V 2.42
V1 0.6902 0.6902 0.9989  2 Ti 2.35-2.42

- symmetry = Cm (8)
- E (eV/atom) = -9.0467
- polymorph energy (0 for the lowest one) (meV/atom) = 34
- ΔH_f (0 K) (kJ per mole of atoms) = 13.9

---

Record 10
Material: TaTi2V
Method: DFT, PBE
State: optimized geometry

Lattice parameters (Å, degrees): 3.2530 4.5186 4.5186 90.00 90.00 90.00
Last column: nearest neighbours and their distance in Å.
Atoms (fractional coordinates):
V1 0.5000 0.5000 0.5000  8 Ti 2.78
Ti1 0.0000 0.0000 0.5000  4 Ta 2.78, 4 V 2.78
Ti2 0.0000 0.5000 0.0000  4 Ta 2.78, 4 V 2.78
Ta1 0.5000 0.0000 0.0000  8 Ti 2.78

- symmetry = P4/mmm (123)
- E (eV/atom) = -9.0512
- polymorph energy (0 for the lowest one) (meV/atom) = 29
- ΔH_f (0 K) (kJ per mole of atoms) = 13.4

---

Record 11
Material: TaTiV
Method: DFT, PBE
State: optimized geometry

Lattice parameters (Å, degrees): 4.7450 4.7450 6.0272 66.82 66.82 60.00
Last column: nearest neighbours and their distance in Å.
Atoms (fractional coordinates):
Ta1 0.1335 0.1335 0.5996  1 V 2.49
Ta2 0.8665 0.8665 0.4004  1 V 2.49
Ti1 0.5734 0.5734 0.2799  1 V 2.24, 1 Ti 2.36
Ti2 0.4266 0.4266 0.7201  1 V 2.24, 1 Ti 2.36
V1 0.7122 0.7122 0.8634  1 Ti 2.24, 1 Ta 2.49
V2 0.2878 0.2878 0.1366  1 Ti 2.24, 1 Ta 2.49

- symmetry = R-3m (166)
- E (eV/atom) = -9.1193
- polymorph energy (0 for the lowest one) (meV/atom) = 423
- ΔH_f (0 K) (kJ per mole of atoms) = 48.5

---

Size of the total moment? In order: 0.0, 0.0, 0.0, 0.0, 0.0, 0.0, 0.0, 0.9, 0.0, 1.7, 0.0 μB/cell.